# PBE-GGA HfBAsSe2, optimized geometry
# - DOS at the Fermi energy: 4.48 states/eV per cell
# - Raw formation energy: 725.2 meV/atom
# - Symmetry: P4/mmm
data_HfBAsSe2
_chemical_formula_sum 'Hf1 B1 As1 Se2'
_space_group_name_H-M_alt 'P 1'
_space_group_IT_number 1
_space_group_name_Hall 'P 1'
_cell_length_a 5.1354
_cell_length_b 5.1354
_cell_length_c 5.2065
_cell_angle_alpha 90.00
_cell_angle_beta 90.00
_cell_angle_gamma 90.00
loop_
_atom_site_label
_atom_site_type_symbol
_atom_site_fract_x
_atom_site_fract_y
_atom_site_fract_z
_atom_site_occupancy
Hf1 Hf 0.0000 0.0000 0.0000 1
Se1 Se 0.0000 0.5000 0.0000 1
Se2 Se 0.5000 0.0000 0.0000 1
As1 As 0.0000 0.0000 0.5000 1
B1 B 0.5000 0.5000 0.5000 1